1.
The following is a PBE calculation of a relaxed AcLaOs4 crystal, from Alexandria via LeMat-Bulk.

- Formation energy from the elements: 0.47 eV per formula unit
- Magnetization: 0.0 Bohr magnetons per cell

Cell lengths 5.528, 5.528, 5.528 Å; angles 60.00, 60.00, 60.00 degrees
Fractional positions:
Ac 0.250 0.250 0.250
Os 0.625 0.625 0.124
Os 0.625 0.124 0.625
Os 0.625 0.625 0.625
Os 0.124 0.625 0.625
La 0.000 0.000 0.000

***

2.
The following is a PBE calculation of a relaxed AcLa4Os crystal, from Alexandria via LeMat-Bulk.

- Distance to the lowest polymorph of the same formula: 0.00 eV per formula unit
- Formation energy from the elements: -0.40 eV per formula unit
- Magnetization: 0.0 Bohr magnetons per cell

Cell lengths 6.934, 7.678, 9.419 Å; angles 105.41, 111.59, 90.01 degrees
Fractional positions:
Ac 0.930 0.750 0.000
Ac 0.070 0.250 0.000
La 0.491 0.021 0.800
La 0.690 0.479 0.200
La 0.509 0.979 0.200
La 0.310 0.521 0.800
La 0.893 0.857 0.608
La 0.286 0.643 0.392
La 0.107 0.143 0.392
La 0.714 0.357 0.608
Os 0.500 0.000 0.500
Os 0.000 0.500 0.500

***

3.
The following is a PBE calculation of a relaxed AcLa2Os crystal, from Alexandria via LeMat-Bulk.

- Distance to the lowest polymorph of the same formula: 0.51 eV per formula unit
- Formation energy from the elements: 0.01 eV per formula unit
- Magnetization: 0.0 Bohr magnetons per cell

Cell lengths 4.199, 4.199, 9.868 Å; angles 77.72, 77.72, 60.00 degrees
Fractional positions:
Ac 0.501 0.501 0.496
La 0.052 0.052 0.844
La 0.281 0.281 0.157
Os 0.666 0.666 0.003

***

4.
The following is a PBE calculation of a relaxed AcLaOs crystal, from Alexandria via LeMat-Bulk.

- Distance to the lowest polymorph of the same formula: 0.25 eV per formula unit
- Formation energy from the elements: 0.13 eV per formula unit
- Magnetization: 0.0 Bohr magnetons per cell

Cell lengths 3.630, 3.630, 7.688 Å; angles 103.66, 103.66, 90.00 degrees
Fractional positions:
Ac 0.289 0.289 0.578
Os 0.663 0.663 0.325
La 0.048 0.048 0.097

***

Repeat the second record exactly.
The following is a PBE calculation of a relaxed AcLa4Os crystal, from Alexandria via LeMat-Bulk.

- Distance to the lowest polymorph of the same formula: 0.00 eV per formula unit
- Formation energy from the elements: -0.40 eV per formula unit
- Magnetization: 0.0 Bohr magnetons per cell

Cell lengths 6.934, 7.678, 9.419 Å; angles 105.41, 111.59, 90.01 degrees
Fractional positions:
Ac 0.930 0.750 0.000
Ac 0.070 0.250 0.000
La 0.491 0.021 0.800
La 0.690 0.479 0.200
La 0.509 0.979 0.200
La 0.310 0.521 0.800
La 0.893 0.857 0.608
La 0.286 0.643 0.392
La 0.107 0.143 0.392
La 0.714 0.357 0.608
Os 0.500 0.000 0.500
Os 0.000 0.500 0.500